Compound: TlTcHPt2
Source: Alexandria via LeMat-Bulk
Functional: PBE-GGA
Structure: optimized geometry

Summary:
For the total magnetization, the calculation gives 1.1 μB/f.u. As for the total energy: -26.21 eV/cell. For the density of states at the Fermi level, the calculation gives 0.6166 states/eV/atom. As for the crystal system: tetragonal. Its space-group type is P4/mmm.

Unit cell a=3.9331 b=4.6442 c=3.9331 alpha=90.00 beta=90.00 gamma=90.00
Closest atoms and distances in Å follow each position.
Fractional positions:
H (0.0000, 0.0000, 0.0000)  4 Pt 1.97
Tl (0.0000, 0.5000, 0.0000)  2 H 2.32
Tc (0.5000, 0.5000, 0.5000)  4 Tl 2.78, 8 Pt 3.04
Pt (0.0000, 0.0000, 0.5000)  2 H 1.97
Pt (0.5000, 0.0000, 0.0000)  2 H 1.97